Record 1
Compound: InPdCl6
Source: the Alexandria database
Functional: PBE-GGA
Structure: optimized geometry

The structure belongs to space group P-1 (No. 2); the cell edges are 6.2126, 6.2216 and 6.6503 Å and the angles 62.39°, 64.89° and 62.64°. The distinct sites, in fractional coordinates, are In at (0.0000, 0.0000, 0.0000), Pd at (0.5000, 0.5000, 0.5000), Cl at (0.0880, 0.7511, 0.7545), Cl at (0.2688, 0.5714, 0.2560) and Cl at (0.4207, 0.1062, 0.7390).

For the total energy, the calculation gives -3.00 eV per atom. The value obtained for the polymorph energy (0 for the lowest one) is 0.030 eV/atom.

***

Record 2
Compound: InPdCl5
Source: the Alexandria database
Functional: PBE-GGA
Structure: optimized geometry

The structure belongs to space group P-1 (No. 2); the cell edges are 6.1226, 6.4506 and 9.9209 Å and the angles 102.50°, 102.58° and 99.65°. The distinct sites, in fractional coordinates, are In at (0.0000, 0.0000, 0.0000), In at (0.0000, 0.0000, 0.5000), Pd at (0.3615, 0.5054, 0.3012), Cl at (0.0417, 0.2415, 0.2936), Cl at (0.1552, 0.7425, 0.0998), Cl at (0.2929, 0.2677, 0.7055), Cl at (0.3091, 0.7617, 0.4925) and Cl at (0.4199, 0.2663, 0.1088).

For the total energy, the calculation gives -3.13 eV per atom.

***

Record 3
Compound: InPd3Cl
Source: the Alexandria database
Functional: PBE-GGA
Structure: optimized geometry

The structure belongs to space group Pm-3m (No. 221); the cell edges are 4.6621, 4.6621 and 4.6621 Å and the angles 90.00°, 90.00° and 90.00°. The distinct sites, in fractional coordinates, are In at (0.0000, 0.0000, 0.0000), Pd at (0.0000, 0.5000, 0.5000) and Cl at (0.5000, 0.5000, 0.5000).

For the total energy, the calculation gives -3.78 eV per atom. The value obtained for the polymorph energy (0 for the lowest one) is 0.000 eV/atom.

***

Record 4
Compound: InPdCl6
Source: the Alexandria database
Functional: PBE-GGA
Structure: optimized geometry

The structure belongs to space group C2/m (No. 12); the cell edges are 6.2892, 11.7789 and 6.2957 Å and the angles 90.00°, 108.52° and 90.00°. The distinct sites, in fractional coordinates, are In at (0.0000, 0.0000, 0.0000), Pd at (0.0000, 0.5000, 0.5000), Cl at (0.2269, 0.3590, 0.7279) and Cl at (0.2438, 0.0000, 0.7551).

For the total energy, the calculation gives -3.03 eV per atom. The value obtained for the polymorph energy (0 for the lowest one) is 0.000 eV/atom.

***

Formation energy from raw total energies readings, ordered: -0.62 -0.68 0.25 -0.65 eV/atom
Magnetic moment readings, ordered: 0.130 0.000 0.000 0.130 μB per atom